1.
# CaAg2Ru

CaAg2Ru after structural relaxation (GGA-PBE, the Alexandria database).

Cell lengths 4.053, 4.053, 20.236 Å; angles 90.00, 90.00, 90.00 degrees
Space group I-42d (No. 122)
Asymmetric unit:
Ca1 0.000 0.000 0.000
Ag1 0.230 0.250 0.625
Ru1 0.000 0.000 0.500

Properties
The value obtained for the calculated density is 7.1 g/cm3. As for the raw total energy: -3.71 eV/atom. The calculation puts the energy above the most stable polymorph in this dataset at 0.305 eV per atom. As for the formation energy: 537.4 meV/atom.

---

2.
# Ca3AgRu

Ca3AgRu after structural relaxation (GGA-PBE, the Alexandria database).

Cell lengths 5.375, 5.375, 5.375 Å; angles 90.00, 90.00, 90.00 degrees
Space group Pm-3m (No. 221)
Asymmetric unit:
Ca1 0.000 0.000 0.500
Ag1 0.500 0.500 0.500
Ru1 0.000 0.000 0.000

Properties
The value obtained for the calculated density is 3.5 g/cm3. As for the raw total energy: -3.43 eV/atom. The calculation puts the energy above the most stable polymorph in this dataset at 0.000 eV per atom. As for the formation energy: 200.3 meV/atom.

---

3.
# CaAg2Ru

CaAg2Ru after structural relaxation (GGA-PBE, the Alexandria database).

Cell lengths 2.859, 4.882, 5.538 Å; angles 90.00, 101.89, 90.00 degrees
Space group P2/m (No. 10)
Asymmetric unit:
Ca1 0.000 0.000 0.000
Ag1 0.295 0.500 0.730
Ru1 0.500 0.000 0.500

Properties
The value obtained for the calculated density is 7.8 g/cm3. As for the raw total energy: -3.93 eV/atom. The calculation puts the energy above the most stable polymorph in this dataset at 0.081 eV per atom. As for the formation energy: 313.2 meV/atom.